# ScFeSe2 | Alexandria via LeMat-Bulk | GGA-PBEsol | optimized geometry
data_ScFeSe2
_chemical_formula_sum 'Sc3 Fe3 Se6'
_cell_length_a 3.8016
_cell_length_b 3.8016
_cell_length_c 17.4418
_cell_angle_alpha 90.00
_cell_angle_beta 90.00
_cell_angle_gamma 120.00
_space_group_name_H-M_alt 'R -3 m'
_space_group_IT_number 166
_space_group_name_Hall '-R 3 2"'
loop_
_atom_site_label
_atom_site_type_symbol
_atom_site_fract_x
_atom_site_fract_y
_atom_site_fract_z
_atom_site_occupancy
Sc1 Sc 0.0000 0.0000 0.0000 1
Fe1 Fe 0.0000 0.0000 0.5000 1
Se1 Se 0.0000 0.0000 0.2439 1
# **ΔE to the lowest computed polymorph**: 16.1 meV/atom